Tl3CuW2O9: optimized geometry, PBE+U.

The space group is P-3m1 (No. 164) and the conventional cell measures 5.7192, 5.7192 and 7.1872 Å, with angles of 90.00, 90.00 and 120.00 degrees. The distinct sites, in fractional coordinates, are Tl at (0.0000, 0.0000, 0.0000), Tl at (0.3333, 0.6667, 0.6573), Cu at (0.0000, 0.0000, 0.5000), W at (0.3333, 0.6667, 0.1725), O at (0.0000, 0.5000, 0.0000) and O at (0.1719, 0.3438, 0.3119).

The spin magnetization comes out at 0.899 μB/f.u. The total energy is -5.94 eV per atom.